1.
The following is a DFT calculation (GGA-PBEsol) of BeInSn2Au after structural relaxation.

The space group is P4/mmm, No. 123. For the formation enthalpy at 0 K, the calculation gives 0.23 eV per atom.

Geometry as POSCAR:
```
BeInSn2Au
1.0
4.495 0.000 0.000
0.000 4.964 0.000
0.000 0.000 4.964
Be Au Sn In
1 1 2 1
direct
0.000 0.000 0.000
0.500 0.000 0.000
0.000 0.000 0.500
0.000 0.500 0.000
0.500 0.500 0.500
```

2.
The following is a DFT calculation (GGA-PBEsol) of LiAl2Cd after structural relaxation.

The space group is Pmm2, No. 25. For the formation enthalpy at 0 K, the calculation gives -0.07 eV per atom.

Geometry as POSCAR:
```
LiAl2Cd
1.0
3.033 0.000 0.000
0.000 3.977 0.000
0.000 0.000 5.709
Cd Al Li
1 2 1
direct
0.500 0.000 0.511
0.500 0.000 0.006
0.000 0.500 0.232
0.000 0.500 0.752
```